Entry 1:
Below is crystalline ReP2H at its relaxed geometry, with properties calculated at the GGA-PBE level.

Results
- D(E_F) (states/eV/f.u.) = 2.89
- distance to the lowest polymorph of the same formula (eV per atom) = 0.041
- E (eV per atom) = -6.0891

a = 5.763 Å, b = 5.763 Å, c = 5.763 Å
α = 90.00°, β = 90.00°, γ = 90.00°
Space group Fm-3m (No. 225)
Symmetry-distinct sites (fractional):
1 Re 0.000 0.000 0.000 (multiplicity 4)
2 P 0.250 0.250 0.250 (multiplicity 8)
3 H 0.000 0.000 0.500 (multiplicity 4)

---

Entry 2:
Below is crystalline Ac2PrPb at its relaxed geometry, with properties calculated at the GGA-PBE level.

Results
- energy relative to the elements (meV per atom) = -101
- D(E_F) (states/eV/f.u.) = 4.65
- distance to the lowest polymorph of the same formula (eV per atom) = 0.171
- E (eV per atom) = -4.2776

a = 3.9052 Å, b = 3.9052 Å, c = 35.7093 Å
α = 90.00°, β = 90.00°, γ = 120.00°
Space group R3m (No. 160, hexagonal axes)
Symmetry-distinct sites (fractional):
1 Ac 0.0000 0.0000 0.0000 (multiplicity 3)
2 Ac 0.0000 0.0000 0.1750 (multiplicity 3)
3 Pr 0.0000 0.0000 0.4210 (multiplicity 3)
4 Pb 0.0000 0.0000 0.5871 (multiplicity 3)

---

Entry 3:
Below is crystalline BaPHN2 at its relaxed geometry, with properties calculated at the GGA-PBE level.

Results
- D(E_F) (states/eV/f.u.) = 0.50
- E (eV per atom) = -5.7535

a = 11.622 Å, b = 4.513 Å, c = 5.941 Å
α = 90.00°, β = 106.09°, γ = 90.00°
Space group C2/m (No. 12)
Symmetry-distinct sites (fractional):
1 Ba 0.162 0.000 0.215 (multiplicity 4)
2 P 0.052 0.500 0.712 (multiplicity 4)
3 H 0.077 0.000 0.587 (multiplicity 4)
4 N 0.089 0.000 0.764 (multiplicity 4)
5 N 0.096 0.500 0.452 (multiplicity 4)

---

Entry 4:
Below is crystalline Li2CuIr2 at its relaxed geometry, with properties calculated at the GGA-PBE level.

Results
- energy relative to the elements (meV per atom) = 249
- D(E_F) (states/eV/f.u.) = 2.03
- distance to the lowest polymorph of the same formula (eV per atom) = 0.094
- E (eV per atom) = -4.8800

a = 6.191 Å, b = 6.191 Å, c = 4.095 Å
α = 90.00°, β = 90.00°, γ = 90.00°
Space group P4/mbm (No. 127)
Symmetry-distinct sites (fractional):
1 Li 0.165 0.335 0.000 (multiplicity 4)
2 Cu 0.000 0.000 0.500 (multiplicity 2)
3 Ir 0.135 0.635 0.500 (multiplicity 4)

---

Entry 5:
Below is crystalline TaCo2 at its relaxed geometry, with properties calculated at the GGA-PBE level.

Results
- energy relative to the elements (meV per atom) = -197
- D(E_F) (states/eV/f.u.) = 3.30
- E (eV per atom) = -8.8856

a = 5.194 Å, b = 3.769 Å, c = 7.862 Å
α = 90.00°, β = 90.00°, γ = 90.00°
Space group Pnma (No. 62)
Symmetry-distinct sites (fractional):
1 Ta 0.160 0.250 0.104 (multiplicity 4)
2 Co 0.098 0.250 0.755 (multiplicity 4)
3 Co 0.144 0.250 0.425 (multiplicity 4)

---

Entry 6:
Below is crystalline SmNpSe4 at its relaxed geometry, with properties calculated at the GGA-PBE level.

Results
- uncorrected formation energy (eV per atom) = -1.174
- D(E_F) (states/eV/f.u.) = 6.12
- E (eV per atom) = -6.4403

a = 9.357 Å, b = 9.481 Å, c = 4.283 Å
α = 90.00°, β = 90.00°, γ = 90.00°
Space group Cmmm (No. 65)
Symmetry-distinct sites (fractional):
1 Sm 0.000 0.000 0.000 (multiplicity 2)
2 Np 0.000 0.500 0.500 (multiplicity 2)
3 Se 0.000 0.312 0.000 (multiplicity 4)
4 Se 0.208 0.000 0.500 (multiplicity 4)

---

Entry 7:
Below is crystalline YZr2Pa at its relaxed geometry, with properties calculated at the GGA-PBE level.

Results
- energy relative to the elements (meV per atom) = 103
- D(E_F) (states/eV/f.u.) = 6.65
- distance to the lowest polymorph of the same formula (eV per atom) = 0.000
- E (eV per atom) = -8.1613

a = 3.831 Å, b = 3.831 Å, c = 7.131 Å
α = 90.00°, β = 90.00°, γ = 90.00°
Space group P4/mmm (No. 123)
Symmetry-distinct sites (fractional):
1 Y 0.000 0.000 0.000 (multiplicity 1)
2 Zr 0.500 0.500 0.292 (multiplicity 2)
3 Pa 0.000 0.000 0.500 (multiplicity 1)

---

Entry 8:
Below is crystalline RbPrTe2O8 at its relaxed geometry, with properties calculated at the GGA-PBE level.

Results
- uncorrected formation energy (eV per atom) = -1.546
- D(E_F) (states/eV/f.u.) = 0.00
- E (eV per atom) = -5.8543

a = 6.1476 Å, b = 6.1476 Å, c = 8.1914 Å
α = 90.00°, β = 90.00°, γ = 120.00°
Space group P-3 (No. 147)
Symmetry-distinct sites (fractional):
1 Rb 0.0000 0.0000 0.0000 (multiplicity 1)
2 Pr 0.0000 0.0000 0.5000 (multiplicity 1)
3 Te 0.3333 0.6667 0.7641 (multiplicity 2)
4 O 0.1637 0.3430 0.6833 (multiplicity 6)
5 O 0.3333 0.6667 0.9862 (multiplicity 2)